First-principles (GGA-PBE) data for Y3Cu2Au after structural relaxation, as listed in Alexandria via LeMat-Bulk.

a = 4.990 Å, b = 4.990 Å, c = 12.290 Å
α = 90.00°, β = 90.00°, γ = 120.00°
Positions (direct):
Cu  0.000  0.000  0.500
Cu  0.000  0.000  0.000
Cu  0.667  0.333  0.839
Au  0.667  0.333  0.333
Au  0.333  0.667  0.667
Y  0.000  0.000  0.245
Y  0.667  0.333  0.584
Y  0.333  0.667  0.920
Y  0.333  0.667  0.416
Y  0.667  0.333  0.080
Cu  0.333  0.667  0.161
Y  0.000  0.000  0.755

Output
- calculated formation energy (eV per atom) = -0.4472
- Fermi-level density of states (states/eV/cell) = 6.5